This record from the Alexandria database describes an optimized crystal structure of TcOsBr2. The functional is GGA-PBEsol.

Cell and atoms, written as extended XYZ:
```
4
Lattice="-1.740 2.348 -0.663 -0.860 -1.371 -2.597 -6.604 -3.721 4.150" Properties=species:S:1:pos:R:3 pbc="T T T"
Br -2.879 0.043 0.930
Br -6.660 -4.195 2.616
Tc -5.993 -2.155 1.319
Os -3.579 -2.016 2.249
```

Summary:
- Uncorrected energy: -26.18 eV/cell
- SG: Pmm2, No. 25
- E_form (uncorrected): 259.3 meV per atom
- Volume: 79.25 Å³ per cell
- ρ: 9.4 g cm⁻³